Entry 1:
Crystalline Mn3CoPd12 at its relaxed geometry, computed with PBE.

Unit cell a=3.916 b=3.916 c=15.606 alpha=90.00 beta=90.00 gamma=90.00
Element x y z (fractional)
Mn 0.000 0.000 0.000
Mn 0.000 0.000 0.251
Mn 0.000 0.000 0.749
Co 0.000 0.000 0.500
Pd 0.000 0.500 0.126
Pd 0.000 0.500 0.378
Pd 0.000 0.500 0.622
Pd 0.000 0.500 0.874
Pd 0.500 0.000 0.126
Pd 0.500 0.000 0.378
Pd 0.500 0.000 0.622
Pd 0.500 0.000 0.874
Pd 0.500 0.500 0.000
Pd 0.500 0.500 0.252
Pd 0.500 0.500 0.500
Pd 0.500 0.500 0.748

Summary:
energy relative to the elements = -143 meV/atom
symmetry = P4/mmm
total moment = 10.529 μB/cell
E = -6.201 eV/atom
crystal system = tetragonal
DOS(E_F) = 1.60 states/eV per atom

Entry 2:
Crystalline PuSc2In3 at its relaxed geometry, computed with PBE.

Unit cell a=3.549 b=3.549 c=11.432 alpha=90.00 beta=90.00 gamma=90.00
Element x y z (fractional)
Pu 0.000 0.000 0.000
Sc 0.000 0.000 0.344
Sc 0.000 0.000 0.656
In 0.500 0.500 0.188
In 0.500 0.500 0.500
In 0.500 0.500 0.812

Summary:
energy relative to the elements = -316 meV/atom
symmetry = P4/mmm
total moment = 5.836 μB/cell
E = -6.185 eV/atom
crystal system = tetragonal
DOS(E_F) = 1.81 states/eV per atom

Entry 3:
Crystalline Zn3GaAu3 at its relaxed geometry, computed with PBE.

Unit cell a=7.130 b=7.130 c=7.130 alpha=90.00 beta=90.00 gamma=90.00
Element x y z (fractional)
Zn 0.000 0.250 0.500
Zn 0.000 0.750 0.500
Zn 0.250 0.500 0.000
Zn 0.500 0.000 0.250
Zn 0.500 0.000 0.750
Zn 0.750 0.500 0.000
Ga 0.000 0.000 0.000
Ga 0.500 0.500 0.500
Au 0.000 0.500 0.250
Au 0.000 0.500 0.750
Au 0.250 0.000 0.500
Au 0.500 0.250 0.000
Au 0.500 0.750 0.000
Au 0.750 0.000 0.500

Summary:
energy relative to the elements = 243 meV/atom
symmetry = Pm-3n
total moment = 0.000 μB/cell
E = -2.140 eV/atom
excess energy over the best structure of this formula in the dataset = 0.370 eV per atom
crystal system = cubic
DOS(E_F) = 0.42 states/eV per atom

Entry 4:
Crystalline Zn6Ga2Rh at its relaxed geometry, computed with PBE.

Unit cell a=6.517 b=6.517 c=8.638 alpha=90.00 beta=90.00 gamma=90.00
Element x y z (fractional)
Zn 0.227 0.227 0.000
Zn 0.237 0.237 0.350
Zn 0.237 0.237 0.650
Zn 0.263 0.737 0.150
Zn 0.263 0.737 0.850
Zn 0.273 0.727 0.500
Zn 0.727 0.273 0.500
Zn 0.737 0.263 0.150
Zn 0.737 0.263 0.850
Zn 0.763 0.763 0.350
Zn 0.763 0.763 0.650
Zn 0.773 0.773 0.000
Ga 0.000 0.000 0.196
Ga 0.000 0.000 0.804
Ga 0.500 0.500 0.304
Ga 0.500 0.500 0.696
Rh 0.000 0.000 0.500
Rh 0.500 0.500 0.000

Summary:
energy relative to the elements = 110 meV/atom
symmetry = P4_2/mnm
total moment = 0.000 μB/cell
E = -2.229 eV/atom
crystal system = tetragonal
DOS(E_F) = 0.49 states/eV per atom

Entry 5:
Crystalline BeNbAg at its relaxed geometry, computed with PBE.

Unit cell a=5.776 b=5.776 c=5.776 alpha=90.00 beta=90.00 gamma=90.00
Element x y z (fractional)
Be 0.000 0.000 0.000
Be 0.000 0.500 0.500
Be 0.500 0.000 0.500
Be 0.500 0.500 0.000
Nb 0.250 0.250 0.750
Nb 0.250 0.750 0.250
Nb 0.750 0.250 0.250
Nb 0.750 0.750 0.750
Ag 0.250 0.250 0.250
Ag 0.250 0.750 0.750
Ag 0.750 0.250 0.750
Ag 0.750 0.750 0.250

Summary:
energy relative to the elements = 529 meV/atom
symmetry = F-43m
total moment = 0.000 μB/cell
E = -5.020 eV/atom
excess energy over the best structure of this formula in the dataset = 0.545 eV per atom
crystal system = cubic
DOS(E_F) = 0.08 states/eV per atom

Entry 6:
Crystalline BaCa2Zn2Si2 at its relaxed geometry, computed with PBE.

Unit cell a=10.388 b=10.388 c=10.388 alpha=24.84 beta=24.84 gamma=24.84
Element x y z (fractional)
Ba 0.000 0.000 0.000
Ca 0.133 0.133 0.133
Ca 0.867 0.867 0.867
Zn 0.416 0.416 0.416
Zn 0.584 0.584 0.584
Si 0.250 0.250 0.250
Si 0.750 0.750 0.750

Summary:
symmetry = R-3m
total moment = 0.000 μB/cell
E = -3.081 eV/atom
crystal system = trigonal
DOS(E_F) = 0.45 states/eV per atom
uncorrected formation energy = -0.321 eV per atom

Entry 7:
Crystalline Tm4Mg3Ir at its relaxed geometry, computed with PBE.

Unit cell a=3.515 b=3.515 c=15.998 alpha=90.00 beta=90.00 gamma=90.00
Element x y z (fractional)
Tm 0.000 0.000 0.098
Tm 0.000 0.000 0.369
Tm 0.000 0.000 0.631
Tm 0.000 0.000 0.902
Mg 0.500 0.500 0.238
Mg 0.500 0.500 0.500
Mg 0.500 0.500 0.762
Ir 0.500 0.500 0.000

Summary:
energy relative to the elements = -298 meV/atom
symmetry = P4/mmm
total moment = 0.000 μB/cell
E = -4.240 eV/atom
crystal system = tetragonal
DOS(E_F) = 0.69 states/eV per atom

Entry 8:
Crystalline TiV3As at its relaxed geometry, computed with PBE.

Unit cell a=4.403 b=4.403 c=4.403 alpha=90.00 beta=90.00 gamma=90.00
Element x y z (fractional)
Ti 0.000 0.000 0.000
V 0.000 0.000 0.500
V 0.000 0.500 0.000
V 0.500 0.000 0.000
As 0.500 0.500 0.500

Summary:
energy relative to the elements = 1169 meV/atom
symmetry = Pm-3m
total moment = 0.000 μB/cell
E = -6.811 eV/atom
excess energy over the best structure of this formula in the dataset = 1.448 eV per atom
crystal system = cubic
DOS(E_F) = 1.07 states/eV per atom

Entry 9:
Crystalline TiNb2Ga at its relaxed geometry, computed with PBE.

Unit cell a=7.362 b=7.362 c=5.408 alpha=90.00 beta=90.00 gamma=90.00
Element x y z (fractional)
Ti 0.000 0.000 0.000
Ti 0.000 0.500 0.250
Ti 0.500 0.000 0.750
Ti 0.500 0.500 0.500
Nb 0.236 0.750 0.625
Nb 0.250 0.236 0.375
Nb 0.250 0.264 0.875
Nb 0.264 0.750 0.125
Nb 0.736 0.250 0.125
Nb 0.750 0.736 0.875
Nb 0.750 0.764 0.375
Nb 0.764 0.250 0.625
Ga 0.000 0.000 0.500
Ga 0.000 0.500 0.750
Ga 0.500 0.000 0.250
Ga 0.500 0.500 0.000

Summary:
energy relative to the elements = 296 meV/atom
symmetry = I-42d
total moment = 0.000 μB/cell
E = -7.469 eV/atom
crystal system = tetragonal
DOS(E_F) = 1.22 states/eV per atom

Entry 10:
Crystalline CsPH2C at its relaxed geometry, computed with PBE.

Unit cell a=15.976 b=3.088 c=4.298 alpha=90.00 beta=91.20 gamma=90.00
Element x y z (fractional)
Cs 0.000 0.000 0.000
Cs 0.500 0.500 0.000
P 0.185 0.500 0.516
P 0.685 0.000 0.516
H 0.312 0.000 0.501
H 0.439 0.000 0.495
H 0.812 0.500 0.501
H 0.939 0.500 0.495
C 0.243 0.000 0.509
C 0.743 0.500 0.509

Summary:
symmetry = Cm
total moment = 0.382 μB/cell
E = -4.113 eV/atom
excess energy over the best structure of this formula in the dataset = 0.316 eV per atom
crystal system = monoclinic
DOS(E_F) = 0.47 states/eV per atom

Entry 11:
Crystalline Cs4AuIO at its relaxed geometry, computed with PBE.

Unit cell a=8.531 b=8.259 c=10.801 alpha=90.00 beta=109.08 gamma=90.00
Element x y z (fractional)
Cs 0.017 0.007 0.224
Cs 0.017 0.493 0.224
Cs 0.377 0.250 0.546
Cs 0.424 0.250 0.140
Cs 0.576 0.750 0.860
Cs 0.623 0.750 0.454
Cs 0.983 0.507 0.776
Cs 0.983 0.993 0.776
Au 0.280 0.750 0.068
Au 0.720 0.250 0.932
I 0.201 0.750 0.547
I 0.799 0.250 0.453
O 0.228 0.250 0.286
O 0.772 0.750 0.714

Summary:
symmetry = P2_1/m
total moment = 0.276 μB/cell
E = -2.844 eV/atom
crystal system = monoclinic
uncorrected formation energy = -0.958 eV per atom

Entry 12:
Crystalline ZnCdPb2 at its relaxed geometry, computed with PBE.

Unit cell a=4.548 b=4.548 c=10.146 alpha=90.00 beta=90.00 gamma=90.00
Element x y z (fractional)
Zn 0.000 0.000 0.000
Zn 0.500 0.500 0.500
Cd 0.000 0.500 0.750
Cd 0.500 0.000 0.250
Pb 0.000 0.000 0.500
Pb 0.000 0.500 0.250
Pb 0.500 0.000 0.750
Pb 0.500 0.500 0.000

Summary:
energy relative to the elements = 126 meV/atom
symmetry = I-4m2
total moment = 0.000 μB/cell
E = -2.275 eV/atom
excess energy over the best structure of this formula in the dataset = 0.048 eV per atom
crystal system = tetragonal
DOS(E_F) = 0.41 states/eV per atom

Entry 13:
Crystalline Ho12Tm3Tl at its relaxed geometry, computed with PBE.

Unit cell a=4.917 b=4.917 c=19.961 alpha=90.00 beta=90.00 gamma=90.00
Element x y z (fractional)
Ho 0.000 0.000 0.000
Ho 0.000 0.000 0.246
Ho 0.000 0.000 0.500
Ho 0.000 0.000 0.754
Ho 0.000 0.500 0.123
Ho 0.000 0.500 0.374
Ho 0.000 0.500 0.626
Ho 0.000 0.500 0.877
Ho 0.500 0.000 0.123
Ho 0.500 0.000 0.374
Ho 0.500 0.000 0.626
Ho 0.500 0.000 0.877
Tm 0.500 0.500 0.249
Tm 0.500 0.500 0.500
Tm 0.500 0.500 0.751
Tl 0.500 0.500 0.000

Summary:
energy relative to the elements = -25 meV/atom
symmetry = P4/mmm
total moment = 0.000 μB/cell
E = -4.445 eV/atom
crystal system = tetragonal
DOS(E_F) = 1.20 states/eV per atom

Entry 14:
Crystalline Zr2CuTe6 at its relaxed geometry, computed with PBE.

Unit cell a=7.076 b=7.600 c=11.289 alpha=90.00 beta=127.17 gamma=90.00
Element x y z (fractional)
Zr 0.219 0.161 0.248
Zr 0.219 0.339 0.748
Zr 0.781 0.661 0.252
Zr 0.781 0.839 0.752
Cu 0.000 0.000 0.500
Cu 0.000 0.500 0.000
Te 0.103 0.142 0.928
Te 0.103 0.358 0.428
Te 0.263 0.647 0.933
Te 0.263 0.853 0.433
Te 0.419 0.508 0.264
Te 0.419 0.992 0.764
Te 0.581 0.008 0.236
Te 0.581 0.492 0.736
Te 0.737 0.147 0.567
Te 0.737 0.353 0.067
Te 0.897 0.642 0.572
Te 0.897 0.858 0.072

Summary:
symmetry = P2_1/c
total moment = 0.000 μB/cell
E = -4.950 eV/atom
crystal system = monoclinic
DOS(E_F) = 0.32 states/eV per atom
uncorrected formation energy = -0.501 eV per atom

Entry 15:
Crystalline Tb3ThO at its relaxed geometry, computed with PBE.

Unit cell a=4.976 b=4.976 c=4.976 alpha=90.00 beta=90.00 gamma=90.00
Element x y z (fractional)
Tb 0.000 0.000 0.500
Tb 0.000 0.500 0.000
Tb 0.500 0.000 0.000
Th 0.500 0.500 0.500
O 0.000 0.000 0.000

Summary:
symmetry = Pm-3m
total moment = 0.000 μB/cell
E = -6.301 eV/atom
crystal system = cubic
DOS(E_F) = 0.67 states/eV per atom
uncorrected formation energy = -1.047 eV per atom

Entry 16:
Crystalline LiPm3Tm3S8 at its relaxed geometry, computed with PBE.

Unit cell a=7.859 b=7.859 c=7.859 alpha=59.44 beta=59.44 gamma=59.44
Element x y z (fractional)
Li 0.000 0.000 0.000
Pm 0.000 0.000 0.500
Pm 0.000 0.500 0.000
Pm 0.500 0.000 0.000
Tm 0.000 0.500 0.500
Tm 0.500 0.000 0.500
Tm 0.500 0.500 0.000
S 0.245 0.245 0.745
S 0.245 0.745 0.245
S 0.255 0.255 0.255
S 0.255 0.755 0.755
S 0.745 0.245 0.245
S 0.745 0.745 0.745
S 0.755 0.255 0.755
S 0.755 0.755 0.255

Summary:
symmetry = R-3m
total moment = 0.000 μB/cell
E = -6.159 eV/atom
crystal system = trigonal
DOS(E_F) = 0.30 states/eV per atom
uncorrected formation energy = -1.985 eV per atom

Entry 17:
Crystalline BeCrRu2 at its relaxed geometry, computed with PBE.

Unit cell a=7.956 b=2.664 c=4.711 alpha=90.00 beta=97.28 gamma=90.00
Element x y z (fractional)
Be 0.000 0.000 0.000
Be 0.500 0.500 0.000
Cr 0.000 0.500 0.500
Cr 0.500 0.000 0.500
Ru 0.248 0.500 0.238
Ru 0.252 0.000 0.762
Ru 0.748 0.000 0.238
Ru 0.752 0.500 0.762

Summary:
energy relative to the elements = 70 meV/atom
symmetry = C2/m
total moment = 0.000 μB/cell
E = -7.905 eV/atom
crystal system = monoclinic
DOS(E_F) = 0.85 states/eV per atom

Entry 18:
Crystalline TaRuSe at its relaxed geometry, computed with PBE.

Unit cell a=9.182 b=3.455 c=6.870 alpha=90.00 beta=101.46 gamma=90.00
Element x y z (fractional)
Ta 0.100 0.000 0.212
Ta 0.400 0.500 0.788
Ta 0.600 0.500 0.212
Ta 0.900 0.000 0.788
Ru 0.131 0.500 0.933
Ru 0.369 0.000 0.067
Ru 0.631 0.000 0.933
Ru 0.869 0.500 0.067
Se 0.168 0.000 0.647
Se 0.332 0.500 0.353
Se 0.668 0.500 0.647
Se 0.832 0.000 0.353

Summary:
symmetry = C2/m
total moment = 0.000 μB/cell
E = -8.467 eV/atom
excess energy over the best structure of this formula in the dataset = 0.000 eV per atom
crystal system = monoclinic
DOS(E_F) = 0.57 states/eV per atom
uncorrected formation energy = -0.263 eV per atom

Entry 19:
Crystalline YErSi at its relaxed geometry, computed with PBE.

Unit cell a=11.130 b=4.157 c=8.012 alpha=90.00 beta=125.42 gamma=90.00
Element x y z (fractional)
Y 0.085 0.000 0.360
Y 0.415 0.500 0.640
Y 0.585 0.500 0.360
Y 0.915 0.000 0.640
Er 0.175 0.500 0.077
Er 0.325 0.000 0.923
Er 0.675 0.000 0.077
Er 0.825 0.500 0.923
Si 0.124 0.500 0.660
Si 0.376 0.000 0.340
Si 0.624 0.000 0.660
Si 0.876 0.500 0.340

Summary:
symmetry = C2/m
total moment = 0.000 μB/cell
E = -6.026 eV/atom
excess energy over the best structure of this formula in the dataset = 0.000 eV per atom
crystal system = monoclinic
DOS(E_F) = 1.02 states/eV per atom
uncorrected formation energy = -0.543 eV per atom

Entry 20:
Crystalline Ba2AcPd2 at its relaxed geometry, computed with PBE.

Unit cell a=8.287 b=8.287 c=8.287 alpha=117.43 beta=86.88 gamma=126.43
Element x y z (fractional)
Ba 0.156 0.125 0.282
Ba 0.344 0.625 0.969
Ba 0.656 0.375 0.031
Ba 0.844 0.875 0.718
Ac 0.250 0.750 0.500
Ac 0.750 0.250 0.500
Pd 0.094 0.741 0.834
Pd 0.406 0.241 0.647
Pd 0.594 0.759 0.353
Pd 0.906 0.259 0.166

Summary:
energy relative to the elements = -463 meV/atom
symmetry = Ibam
total moment = 0.000 μB/cell
E = -4.131 eV/atom
crystal system = orthorhombic
DOS(E_F) = 0.65 states/eV per atom